(1)
InCuSiNi: relaxed, PBE.

Results
Total energy, eV per formula unit: -16.178
Space group: No. 216

abc: 4.4108 4.4108 4.4108
angles: 60.00 60.00 60.00
Atoms (fractional coordinates):
1 In 0.2500 0.2500 0.2500
2 Si 0.0000 0.0000 0.0000
3 Cu 0.7500 0.7500 0.7500
4 Ni 0.5000 0.5000 0.5000



(2)
Sm3In3Cu2Ni: relaxed, PBE.

Results
Total energy, eV per formula unit: -39.203
Space group: No. 189

abc: 7.6027 7.6027 3.9777
angles: 90.00 90.00 120.00
Atoms (fractional coordinates):
1 In 0.0000 0.2488 0.5000
2 Sm 0.4093 0.4093 0.0000
3 Sm 0.5907 0.0000 0.0000
4 Ni 0.0000 0.0000 0.0000
5 Cu 0.6667 0.3333 0.5000
6 In 0.7512 0.7512 0.5000
7 Sm 0.0000 0.5907 0.0000
8 Cu 0.3333 0.6667 0.5000
9 In 0.2488 0.0000 0.5000



(3)
Tb3In3Cu2Ni: relaxed, PBE.

Results
Total energy, eV per formula unit: -39.118
Space group: No. 189

abc: 7.4871 7.4871 3.9036
angles: 90.00 90.00 120.00
Atoms (fractional coordinates):
1 In 0.2509 0.0000 0.5000
2 In 0.0000 0.2509 0.5000
3 In 0.7491 0.7491 0.5000
4 Tb 0.5917 0.0000 0.0000
5 Tb 0.4084 0.4083 0.0000
6 Tb 0.0000 0.5917 0.0000
7 Cu 0.3333 0.6667 0.5000
8 Ni 0.0000 0.0000 0.0000
9 Cu 0.6667 0.3333 0.5000